Record 1
Here is a relaxed Pr2W3N8 crystal from the Alexandria database. Energies are from GGA-PBE.

Output
Final energy, eV per atom: -9.496
Size of the total moment, μB per formula unit: 0.00
Formation energy without anion corrections, eV per atom: -0.65
Space group: C2/m, No. 12

The structure in POSCAR format:
```
Pr2W3N8
1.0
5.199 0.000 -0.019
0.000 6.381 0.000
-2.094 -3.190 5.522
N Pr W
8 2 3
direct
0.394 0.886 0.206
0.606 0.114 0.794
0.606 0.680 0.794
0.394 0.320 0.206
0.051 0.399 0.798
0.096 0.900 0.800
0.904 0.100 0.200
0.949 0.601 0.202
0.340 0.270 0.540
0.660 0.730 0.460
0.500 0.000 0.000
0.000 0.273 0.000
0.000 0.727 0.000
```

Record 2
Here is a relaxed Pr2WN3 crystal from the Alexandria database. Energies are from GGA-PBE.

Output
Final energy, eV per atom: -8.757
Size of the total moment, μB per formula unit: 0.00
Formation energy without anion corrections, eV per atom: -0.84
Space group: C2/m, No. 12
ΔE to the lowest computed polymorph, meV per atom: 223

The structure in POSCAR format:
```
Pr2WN3
1.0
-1.379 4.258 3.402
-5.139 -2.723 1.436
0.452 -3.698 4.691
Pr W N
4 2 6
direct
0.750 0.168 0.495
0.749 0.505 0.832
0.251 0.495 0.168
0.250 0.832 0.505
0.724 0.911 0.089
0.276 0.089 0.911
0.500 0.161 0.161
0.500 0.839 0.839
0.727 0.622 0.378
0.000 0.139 0.139
0.273 0.378 0.622
0.000 0.861 0.861
```

Record 3
Here is a relaxed PrWN2 crystal from the Alexandria database. Energies are from GGA-PBE.

Output
Final energy, eV per atom: -9.216
Size of the total moment, μB per formula unit: 0.00
Formation energy without anion corrections, eV per atom: -0.62
Space group: R-3m, No. 166
ΔE to the lowest computed polymorph, meV per atom: 0

The structure in POSCAR format:
```
PrWN2
1.0
-0.684 -1.620 2.760
1.017 -3.087 0.380
4.887 0.285 3.318
Pr W N
1 1 2
direct
0.500 0.500 0.500
0.000 0.000 0.000
0.732 0.732 0.804
0.268 0.268 0.196
```